[1]
Cs2CoGePb: relaxed, PBE.

Summary:
E_tot in eV/cell: -13.0
Crystal system: tetragonal
E_form in eV per atom: 0.829
Magnetization in μB/atom: 0.76

a = 7.424 Å, b = 7.424 Å, c = 4.947 Å
α = 90.00°, β = 90.00°, γ = 90.00°
Atoms (fractional coordinates):
Cs  0.000  0.500  0.000
Cs  0.500  0.000  0.000
Co  0.000  0.000  0.500
Ge  0.500  0.500  0.500
Pb  0.000  0.000  0.000

***

[2]
CsCo2H8: relaxed, PBE.

Summary:
E_tot in eV/cell: -41.3
Crystal system: orthorhombic
Magnetization in μB/atom: 0.08

a = 4.542 Å, b = 4.542 Å, c = 5.886 Å
α = 90.00°, β = 90.00°, γ = 116.06°
Atoms (fractional coordinates):
Cs  0.000  0.000  0.000
Co  0.330  0.670  0.497
Co  0.670  0.330  0.497
H  0.015  0.309  0.517
H  0.309  0.015  0.517
H  0.311  0.689  0.247
H  0.500  0.500  0.335
H  0.500  0.500  0.675
H  0.689  0.311  0.247
H  0.691  0.985  0.517
H  0.985  0.691  0.517

***

Please write out number 2 again, unchanged.
CsCo2H8: relaxed, PBE.

Summary:
E_tot in eV/cell: -41.3
Crystal system: orthorhombic
Magnetization in μB/atom: 0.08

a = 4.542 Å, b = 4.542 Å, c = 5.886 Å
α = 90.00°, β = 90.00°, γ = 116.06°
Atoms (fractional coordinates):
Cs  0.000  0.000  0.000
Co  0.330  0.670  0.497
Co  0.670  0.330  0.497
H  0.015  0.309  0.517
H  0.309  0.015  0.517
H  0.311  0.689  0.247
H  0.500  0.500  0.335
H  0.500  0.500  0.675
H  0.689  0.311  0.247
H  0.691  0.985  0.517
H  0.985  0.691  0.517

***

Q: Which value of magnetization does entry 1 give?
A: 0.76 μB/atom

***

Q: Which value of E_tot does entry 2 give?
A: -41.3 eV/cell

***

Q: Among the records above, which one has the lowest magnetization?
A: CsCo2H8